Density functional theory data (GGA-PBE) for a geometry-optimized ZnNi3 structure.

Properties
**Energy of formation from the pure elements**: -0.12 eV/atom
**Density of states at the Fermi level**: 7.5 states/eV per cell
**Total energy**: -19.1 eV per formula unit
**Space group**: I4/mmm
**Size of the total moment**: 1.0 μB per formula unit

```
8
Lattice="-1.799 1.799 7.065 1.799 -1.799 7.065 1.799 1.799 -7.065" Properties=species:S:1:pos:R:3 pbc="T T T"
Zn 0.000 0.000 1.761
Zn 0.000 0.000 12.369
Ni 1.799 0.000 0.000
Ni 1.799 0.000 3.533
Ni 0.000 0.000 5.291
Ni 0.000 1.799 0.000
Ni 0.000 0.000 8.839
Ni 0.000 1.799 3.533
```